1.
A relaxed Sm6SbP3Se2 crystal, computed with PBE-GGA.

The space group is C2/m (No. 12) and the conventional cell measures 18.359, 4.173 and 8.439 Å, with angles of 90.00, 104.22 and 90.00 degrees. The inequivalent atoms are Sm at (0.003, 0.000, 0.235), Sm at (0.162, 0.500, 0.094), Sm at (0.173, 0.500, 0.574), Sb at (0.000, 0.500, 0.500), P at (0.000, 0.500, 0.000), P at (0.167, 0.000, 0.332) and Se at (0.169, 0.000, 0.836).

The uncorrected formation energy is -1.64 eV/atom.


2.
A relaxed TbTm4Pb2 crystal, computed with PBE-GGA.

The space group is I4/mmm (No. 139) and the conventional cell measures 5.346, 5.346 and 16.391 Å, with angles of 90.00, 90.00 and 90.00 degrees. The inequivalent atoms are Tb at (0.000, 0.000, 0.000), Tm at (0.000, 0.000, 0.183), Tm at (0.000, 0.500, 0.000) and Pb at (0.000, 0.000, 0.370).


3.
A relaxed Ce2UGeN5 crystal, computed with PBE-GGA.

The space group is Cmc2_1 (No. 36) and the conventional cell measures 3.407, 14.130 and 10.480 Å, with angles of 90.00, 90.00 and 90.00 degrees. The inequivalent atoms are Ce at (0.000, 0.115, 0.000), Ce at (0.000, 0.134, 0.587), U at (0.000, 0.210, 0.302), Ge at (0.000, 0.499, 0.769), N at (0.000, 0.046, 0.342), N at (0.000, 0.286, 0.941), N at (0.000, 0.299, 0.665), N at (0.000, 0.368, 0.307) and N at (0.000, 0.496, 0.090).

The uncorrected formation energy is -1.03 eV/atom.


4.
A relaxed Ba2Mg12Hg5 crystal, computed with PBE-GGA.

The space group is R-3m (No. 166, hexagonal axes) and the conventional cell measures 10.5160, 10.5160 and 15.1947 Å, with angles of 90.00, 90.00 and 120.00 degrees. The inequivalent atoms are Ba at (0.0000, 0.0000, 0.1626), Mg at (0.0000, 0.2941, 0.5000), Mg at (0.0070, 0.5035, 0.3456), Hg at (0.0000, 0.0000, 0.4022) and Hg at (0.0000, 0.5000, 0.0000).


5.
A relaxed CaPrPdO4 crystal, computed with PBE-GGA.

The space group is Imma (No. 74) and the conventional cell measures 7.339, 7.406 and 7.979 Å, with angles of 90.00, 90.00 and 90.00 degrees. The inequivalent atoms are Ca at (0.000, 0.250, 0.192), Pr at (0.250, 0.250, 0.750), Pd at (0.000, 0.000, 0.500), O at (0.000, 0.046, 0.754) and O at (0.183, 0.250, 0.453).

The uncorrected formation energy is -2.07 eV/atom.


6.
A relaxed LiSmAg crystal, computed with PBE-GGA.

The space group is P-62m (No. 189) and the conventional cell measures 7.2197, 7.2197 and 4.6456 Å, with angles of 90.00, 90.00 and 120.00 degrees. The inequivalent atoms are Li at (0.0000, 0.7704, 0.0000), Sm at (0.0000, 0.4287, 0.5000), Ag at (0.0000, 0.0000, 0.5000) and Ag at (0.3333, 0.6667, 0.0000).

As for the distance to the lowest polymorph of the same formula: 0.0 kJ/mol of formula units.


Energy across the listed records, respectively: -6.277 -3.751 -8.739 -1.476 -6.613 -3.331 eV per atom.
Spin magnetization across the listed records, respectively: 0.0 0.0 10.2 0.0 0.0 0.0 μB/cell.
D(E_F) across the listed records, respectively: 0.340 1.256 1.090 0.505 0.367 0.986 states/eV/atom.